LaAg2Br: optimized geometry, PBE.

Cell and atoms, written as extended XYZ:
```
4
Lattice="3.6754 0.0000 0.0000 0.0000 3.6932 0.0000 0.0000 0.0000 8.0179" Properties=species:S:1:pos:R:3 pbc="T T T"
La 0.0000 0.0000 0.0000
Ag 0.0000 0.0000 3.2036
Ag 1.8377 1.8466 2.0218
Br 1.8377 1.8466 6.1980
```

Summary:
Symmetry: No. 25
Formation energy without anion corrections: -2.1 eV per formula unit
Volume: 27.21 A^3/atom



Tb3Nd2Ho6Tm: optimized geometry, PBE.

Cell and atoms, written as extended XYZ:
```
12
Lattice="3.0795 -5.3303 0.0000 3.0795 5.3303 0.0000 -2.0441 0.0000 11.5930" Properties=species:S:1:pos:R:3 pbc="T T T"
Tb 0.0000 0.0000 0.0000
Tb 3.0795 1.7755 0.0000
Tb 3.0795 -1.7755 0.0000
Nd 2.0574 3.5562 5.7965
Nd 2.0574 -3.5562 5.7965
Ho 1.0300 1.7718 2.8810
Ho 0.0144 0.0000 8.7165
Ho 1.0300 -1.7718 2.8810
Ho 3.0848 1.7718 8.7121
Ho 4.1003 0.0000 2.8765
Ho 3.0848 -1.7718 8.7121
Tm 2.0574 0.0000 5.7965
```

Summary:
Calculated formation energy: 0.017 eV/atom
Symmetry: No. 12
Volume: 31.72 A^3/atom